No. 1
Sm2Cd2BRh4, optimized geometry, DFT PBE-GGA; formation energy = -387 meV per atom; DFT total energy = -50.8 eV/f.u.; SG = I4/mmm (139)
1.0
6.118 -0.039 -0.057
-2.971 5.348 0.057
-2.971 -1.826 5.027
Sm Cd B Rh
2 2 1 4
direct
0.000 0.705 0.705 Sm
0.000 0.295 0.295 Sm
0.500 0.750 0.250 Cd
0.500 0.250 0.750 Cd
0.000 0.000 0.000 B
0.000 0.763 0.237 Rh
0.526 0.763 0.763 Rh
0.000 0.237 0.763 Rh
0.474 0.237 0.237 Rh

No. 2
In3Ge2Pd7, optimized geometry, DFT PBE-GGA; formation energy = -318 meV per atom; DFT total energy = -57.6 eV/f.u.; SG = Cmmm (65)
1.0
4.592 0.000 0.000
0.000 4.387 0.000
0.000 -2.194 10.830
In Ge Pd
3 2 7
direct
0.500 0.500 0.000 In
0.500 0.659 0.319 In
0.500 0.341 0.681 In
0.000 0.850 0.700 Ge
0.000 0.150 0.300 Ge
0.000 0.419 0.839 Pd
0.000 0.716 0.432 Pd
0.000 0.000 0.000 Pd
0.000 0.581 0.161 Pd
0.500 0.082 0.164 Pd
0.500 0.918 0.836 Pd
0.000 0.284 0.568 Pd

Q: The highest DFT total energy belongs to which entry?
A: Sm2Cd2BRh4